Density functional theory data (PBE) for an optimized crystal structure of TlReP2.

Its relative energy among the computed polymorphs is 1172 meV/atom. The calculation puts the spin magnetization at 0.0 Bohr magnetons per cell. The value obtained for the formation energy is 1182 meV/atom. The crystal system is cubic. The final energy comes out at -83.62 eV for the cell shown.

It has space group F-43m (No. 216), with a = 6.488 Å, b = 6.488 Å, c = 6.488 Å, α = 90.00°, β = 90.00° and γ = 90.00°. The inequivalent atoms are Tl at (0.000, 0.000, 0.000), Re at (0.250, 0.250, 0.750), P at (0.000, 0.000, 0.500) and P at (0.250, 0.250, 0.250).